[1]
Ce2MgIn PBE relaxed; ρ = 6.1 g/cm3; symmetry = Fm-3m (225); Fermi-level density of states = 5.648 states/eV per atom; formation enthalpy at 0 K = -126 meV per atom; magnetic moment = 0.36 μB per atom
1.0
0.000 3.841 3.841
3.841 0.000 3.841
3.841 3.841 0.000
Ce Mg In
2 1 1
direct
0.250 0.250 0.250
0.750 0.750 0.750
0.000 0.000 0.000
0.500 0.500 0.500



[2]
Ce2MgIn9 PBE relaxed; ρ = 7.2 g/cm3; symmetry = P4/mmm (123); Fermi-level density of states = 1.228 states/eV per atom; formation enthalpy at 0 K = -270 meV per atom; magnetic moment = 0.15 μB per atom
1.0
4.711 0.000 0.000
0.000 4.711 0.000
0.000 0.000 13.902
Ce Mg In
2 1 9
direct
0.000 0.000 0.170
0.000 0.000 0.830
0.000 0.000 0.500
0.000 0.500 0.000
0.000 0.500 0.342
0.000 0.500 0.658
0.500 0.000 0.000
0.500 0.000 0.342
0.500 0.000 0.658
0.500 0.500 0.165
0.500 0.500 0.500
0.500 0.500 0.835



[3]
CeMg2In PBE relaxed; ρ = 5.0 g/cm3; symmetry = P4/mmm (123); Fermi-level density of states = 1.504 states/eV per atom; formation enthalpy at 0 K = -52 meV per atom; magnetic moment = 0.34 μB per atom
1.0
3.269 0.000 0.000
0.000 3.269 0.000
0.000 0.000 9.421
Ce Mg In
1 2 1
direct
0.000 0.000 0.000
0.500 0.500 0.271
0.500 0.500 0.729
0.000 0.000 0.500